(1)
CeTh2OsN4 | Alexandria via LeMat-Bulk | PBE | optimized geometry; raw total energy = -9.206 eV per atom; V = 251.3 Å³ per cell; SG = Cmcm; M_tot = 0.00 μB/atom
1.0
-1.538 -2.866 -1.144
6.143 -0.975 -0.619
0.386 -4.672 11.189
N Ce Th Os
8 2 4 2
direct
0.546 0.093 0.250
0.719 0.439 0.868
0.454 0.907 0.750
0.281 0.561 0.132
0.719 0.439 0.632
0.000 0.000 0.500
0.281 0.561 0.368
0.000 0.000 0.000
0.107 0.214 0.750
0.893 0.786 0.250
0.632 0.264 0.447
0.368 0.736 0.553
0.368 0.736 0.947
0.632 0.264 0.053
0.152 0.304 0.250
0.848 0.696 0.750

---

(2)
RbSb2As2S6 | Alexandria via LeMat-Bulk | PBE | optimized geometry; raw total energy = -4.247 eV per atom; V = 371.3 Å³ per cell; SG = P-1; M_tot = 0.00 μB/atom
1.0
8.533 0.333 -1.464
4.759 7.894 -0.829
-1.580 -4.742 5.924
S As Sb Rb
6 2 2 1
direct
0.062 0.404 0.732
0.835 0.015 0.258
0.343 0.667 0.930
0.165 0.985 0.742
0.938 0.596 0.268
0.657 0.333 0.070
0.909 0.186 0.205
0.091 0.814 0.795
0.871 0.338 0.837
0.129 0.662 0.163
0.500 0.000 0.500

---

(3)
SmY3Pa2N6 | Alexandria via LeMat-Bulk | PBE | optimized geometry; raw total energy = -9.418 eV per atom; V = 182.6 Å³ per cell; SG = C2/m; M_tot = 0.00 μB/atom
1.0
-1.091 3.297 -4.987
1.382 -5.897 -0.498
-5.641 -0.462 2.162
Sm Pa N Y
1 2 6 3
direct
0.000 0.000 0.000
0.667 0.333 0.000
0.333 0.667 0.000
0.731 0.731 0.242
0.920 0.569 0.761
0.269 0.269 0.758
0.569 0.920 0.761
0.080 0.431 0.239
0.431 0.080 0.239
0.500 0.500 0.500
0.835 0.165 0.500
0.165 0.835 0.500

---

(4)
PbAuO2 | Alexandria via LeMat-Bulk | PBE | optimized geometry; raw total energy = -4.831 eV per atom; V = 150.4 Å³ per cell; SG = C2/m; M_tot = 0.00 μB/atom
1.0
-6.497 -0.715 -0.822
-4.949 -1.916 -3.903
-0.609 -6.213 2.116
O Au Pb
4 2 2
direct
0.413 0.413 0.731
0.088 0.088 0.826
0.912 0.912 0.174
0.587 0.587 0.269
0.749 0.749 0.213
0.251 0.251 0.787
0.500 0.500 0.000
0.000 0.000 0.500

---

The lowest V belongs to which entry?
PbAuO2